Record 1
First-principles (PBE) data for a relaxed PrI3 crystal, as listed in Alexandria.

Unit cell a=7.772 b=7.772 c=7.772 alpha=148.92 beta=70.28 gamma=118.75
Positions (direct):
Pr1 0.000 0.000 0.000
I1 0.012 0.349 0.663
I2 0.301 0.801 0.500
I3 0.686 0.349 0.337

- Space-group type: Imm2
- N(E_F): 0.00 states/eV per cell
- Energy relative to the elements, uncorrected: -1.395 eV per atom


Record 2
First-principles (PBE) data for a relaxed ScRu2F crystal, as listed in Alexandria.

Unit cell a=5.869 b=5.869 c=5.869 alpha=97.74 beta=97.74 gamma=136.95
Positions (direct):
Sc1 0.000 0.000 0.000
Sc2 0.750 0.250 0.500
Ru1 0.188 0.125 0.563
Ru2 0.375 0.812 0.937
Ru3 0.562 0.625 0.437
Ru4 0.875 0.438 0.063
F1 0.250 0.750 0.500
F2 0.500 0.500 0.000

- Space-group type: I-42d
- N(E_F): 7.68 states/eV per cell
- Energy relative to the elements, uncorrected: -0.249 eV per atom


Record 3
First-principles (PBE) data for a relaxed Pu2InNi9 crystal, as listed in Alexandria.

Unit cell a=8.636 b=8.636 c=8.636 alpha=32.83 beta=32.83 gamma=32.83
Positions (direct):
Pu1 0.140 0.140 0.140
Pu2 0.860 0.860 0.860
In1 0.000 0.000 0.000
Ni1 0.082 0.583 0.583
Ni2 0.333 0.333 0.333
Ni3 0.417 0.417 0.918
Ni4 0.417 0.918 0.417
Ni5 0.500 0.500 0.500
Ni6 0.583 0.082 0.583
Ni7 0.583 0.583 0.082
Ni8 0.667 0.667 0.667
Ni9 0.918 0.417 0.417

- Space-group type: R-3m
- N(E_F): 28.02 states/eV per cell
- ΔE_f: -0.15 eV/atom